1.
Density functional theory data (PBE) for a geometry-optimized EuSbAu2 structure. Values from VASP.

Cell and atoms, written as Quantum ESPRESSO input:
```
&SYSTEM
  ibrav = 0, nat = 4, ntyp = 3
/
ATOMIC_SPECIES
Au 196.97 Au.upf
Eu 151.96 Eu.upf
Sb 121.76 Sb.upf
CELL_PARAMETERS angstrom
-1.400 -1.941 -4.497
-0.387 -5.045 -0.587
-4.584 -2.159 -0.526
ATOMIC_POSITIONS angstrom
Au -1.593 -2.286 -1.402
Eu 0.000 0.000 0.000
Au -4.778 -6.859 -4.207
Sb -3.185 -4.573 -2.805
```

As for the excess energy over the best structure of this formula in the dataset: 0.000 eV per atom. The value obtained for the formation energy (no corrections) is -2.296 eV per formula unit.


2.
Density functional theory data (PBE) for a geometry-optimized Eu2SbAu structure. Values from VASP.

Cell and atoms, written as Quantum ESPRESSO input:
```
&SYSTEM
  ibrav = 0, nat = 4, ntyp = 3
/
ATOMIC_SPECIES
Eu 151.96 Eu.upf
Au 196.97 Au.upf
Sb 121.76 Sb.upf
CELL_PARAMETERS angstrom
3.943 0.000 0.000
0.000 5.382 0.000
0.000 0.000 5.382
ATOMIC_POSITIONS angstrom
Eu 0.000 0.000 2.691
Au 1.972 0.000 0.000
Eu 0.000 2.691 0.000
Sb 1.972 2.691 2.691
```

The value obtained for the formation energy (no corrections) is -3.570 eV per formula unit.


3.
Density functional theory data (PBE) for a geometry-optimized EuSnSbAu structure. Values from VASP.

Cell and atoms, written as Quantum ESPRESSO input:
```
&SYSTEM
  ibrav = 0, nat = 4, ntyp = 4
/
ATOMIC_SPECIES
Sb 121.76 Sb.upf
Au 196.97 Au.upf
Eu 151.96 Eu.upf
Sn 118.71 Sn.upf
CELL_PARAMETERS angstrom
-0.685 -0.520 5.264
3.945 -1.933 3.025
2.607 3.219 3.359
ATOMIC_POSITIONS angstrom
Sb 2.933 0.384 5.824
Au 0.000 0.000 0.000
Eu 4.400 0.575 8.736
Sn 1.467 0.192 2.912
```

The value obtained for the formation energy (no corrections) is -1.807 eV per formula unit.


4.
Density functional theory data (PBE) for a geometry-optimized SrEuSbAu structure. Values from VASP.

Cell and atoms, written as Quantum ESPRESSO input:
```
&SYSTEM
  ibrav = 0, nat = 4, ntyp = 4
/
ATOMIC_SPECIES
Au 196.97 Au.upf
Eu 151.96 Eu.upf
Sr 87.62 Sr.upf
Sb 121.76 Sb.upf
CELL_PARAMETERS angstrom
5.526 0.000 0.000
2.763 4.785 0.000
2.763 1.595 4.512
ATOMIC_POSITIONS angstrom
Au 0.000 0.000 0.000
Eu 8.288 4.785 3.384
Sr 2.763 1.595 1.128
Sb 5.526 3.190 2.256
```

The value obtained for the formation energy (no corrections) is -3.731 eV per formula unit.


5.
Density functional theory data (PBE) for a geometry-optimized EuScAu2 structure. Values from VASP.

Cell and atoms, written as Quantum ESPRESSO input:
```
&SYSTEM
  ibrav = 0, nat = 4, ntyp = 3
/
ATOMIC_SPECIES
Sc 44.96 Sc.upf
Au 196.97 Au.upf
Eu 151.96 Eu.upf
CELL_PARAMETERS angstrom
3.519 0.000 0.000
0.000 5.075 0.000
0.000 0.000 5.075
ATOMIC_POSITIONS angstrom
Sc 1.760 0.000 0.000
Au 0.000 0.000 2.537
Eu 1.760 2.537 2.537
Au 0.000 2.537 0.000
```

As for the excess energy over the best structure of this formula in the dataset: 0.072 eV per atom.


6.
Density functional theory data (PBE) for a geometry-optimized EuScAu2 structure. Values from VASP.

Cell and atoms, written as Quantum ESPRESSO input:
```
&SYSTEM
  ibrav = 0, nat = 4, ntyp = 3
/
ATOMIC_SPECIES
Sc 44.96 Sc.upf
Eu 151.96 Eu.upf
Au 196.97 Au.upf
CELL_PARAMETERS angstrom
4.791 0.000 0.000
2.396 4.149 0.000
2.396 1.383 4.885
ATOMIC_POSITIONS angstrom
Sc 4.791 2.766 2.443
Eu 0.000 0.000 0.000
Au 7.187 4.149 3.131
Au 2.396 1.383 1.754
```

As for the excess energy over the best structure of this formula in the dataset: 0.063 eV per atom.


| no. | volume (Å³/cell) | total moment (μB/atom) |
| --- | --- | --- |
| 1 | 93.5 | 1.70 |
| 2 | 114.2 | 3.50 |
| 3 | 107.3 | 1.76 |
| 4 | 119.3 | 1.75 |
| 5 | 90.6 | 1.74 |
| 6 | 97.1 | 1.76 |